[1]
A plane-wave DFT calculation with GGA-PBE was carried out for crystalline In2Cl at its relaxed geometry.

```
In2Cl
1.0
-3.866 -2.789 2.253
-3.241 -2.900 -2.982
0.286 -5.263 0.145
Cl In
1 2
Cartesian
0.000 0.000 0.000 Cl
-1.705 -2.738 -0.146 In
-5.115 -8.213 -0.438 In
```

The excess energy over the best structure of this formula in the dataset is 253.0 meV/atom. As for the total energy: -2.607 eV per atom. As for the formation energy (no corrections): -16.0 kJ/mol of atoms.



[2]
A plane-wave DFT calculation with GGA-PBE was carried out for crystalline InCl at its relaxed geometry.

```
InCl
1.0
-3.308 -2.361 0.400
3.278 -1.398 -1.994
3.457 -3.468 8.113
In Cl
2 2
Cartesian
1.633 -1.639 3.834 In
1.575 -4.737 5.910 In
-0.052 -3.104 2.091 Cl
3.260 -3.271 7.653 Cl
```

As for the total energy: -3.012 eV per atom. As for the formation energy (no corrections): -69.5 kJ/mol of atoms.



What is the formation energy (no corrections) in the second record?
-69.5 kJ/mol of atoms



Which of these has the lowest formation energy (no corrections)?
InCl